[1]
Density functional theory data (GGA-PBE) for a relaxed LiBe2Os2 crystal.

Lattice parameters (Å, degrees): 5.810 5.810 3.156 90.00 90.00 90.00
Space group P4/mbm (No. 127)
Asymmetric unit:
Li: 0.000 0.000 0.000 [2 per cell]
Be: 0.124 0.376 0.000 [4 per cell]
Os: 0.173 0.673 0.500 [4 per cell]

Output
Calculated total energy in eV/cell: -64.58
Volume in A^3/atom: 10.65
Energy of formation from the pure elements in eV/atom: -0.093
E above lowest polymorph in eV/atom: 0.000
N(E_F) in states/eV/cell: 5.859



[2]
Density functional theory data (GGA-PBE) for a relaxed LiBe3Os crystal.

Lattice parameters (Å, degrees): 4.266 4.266 4.266 90.00 90.00 90.00
Space group Pm-3m (No. 221)
Asymmetric unit:
Li: 0.000 0.000 0.000 [1 per cell]
Be: 0.000 0.500 0.500 [3 per cell]
Os: 0.500 0.500 0.500 [1 per cell]

Output
Calculated total energy in eV/cell: -21.82
Volume in A^3/atom: 15.53
Energy of formation from the pure elements in eV/atom: 0.501
E above lowest polymorph in eV/atom: 0.000
N(E_F) in states/eV/cell: 1.521



[3]
Density functional theory data (GGA-PBE) for a relaxed LiBeOs crystal.

Lattice parameters (Å, degrees): 5.297 5.297 5.297 90.00 90.00 90.00
Space group F-43m (No. 216)
Asymmetric unit:
Li: 0.000 0.000 0.000 [4 per cell]
Be: 0.250 0.250 0.250 [4 per cell]
Os: 0.000 0.000 0.500 [4 per cell]

Output
Calculated total energy in eV/cell: -59.83
Volume in A^3/atom: 12.39
Energy of formation from the pure elements in eV/atom: 0.637
E above lowest polymorph in eV/atom: 0.471
N(E_F) in states/eV/cell: 6.494



[4]
Density functional theory data (GGA-PBE) for a relaxed LiBeOs2 crystal.

Lattice parameters (Å, degrees): 2.6640 2.6640 25.1103 90.00 90.00 120.00
Space group R-3m (No. 166, hexagonal axes)
Asymmetric unit:
Li: 0.0000 0.0000 0.0000 [3 per cell]
Be: 0.0000 0.0000 0.5000 [3 per cell]
Os: 0.0000 0.0000 0.2422 [6 per cell]

Output
Calculated total energy in eV/cell: -83.36
Volume in A^3/atom: 12.86
Energy of formation from the pure elements in eV/atom: 0.078
N(E_F) in states/eV/cell: 9.316



What did the fourth record say?
Density functional theory data (GGA-PBE) for a relaxed LiBeOs2 crystal.

Lattice parameters (Å, degrees): 2.6640 2.6640 25.1103 90.00 90.00 120.00
Space group R-3m (No. 166, hexagonal axes)
Asymmetric unit:
Li: 0.0000 0.0000 0.0000 [3 per cell]
Be: 0.0000 0.0000 0.5000 [3 per cell]
Os: 0.0000 0.0000 0.2422 [6 per cell]

Output
Calculated total energy in eV/cell: -83.36
Volume in A^3/atom: 12.86
Energy of formation from the pure elements in eV/atom: 0.078
N(E_F) in states/eV/cell: 9.316



Among the records above, which one has the lowest N(E_F)? LiBe3Os



Among the records above, which one has the lowest calculated total energy? LiBeOs2